No. 1
A plane-wave DFT calculation with PBE was carried out for a relaxed Be2ReNi crystal.

Computed properties:
As for the spin magnetization: 0.000 μB per atom. Its energy above the most stable polymorph in this dataset is 0.074 eV/atom. For the electronic total energy, the calculation gives -0.4804 Ry/atom. The calculation puts the formation energy at -116 meV/atom. Its space group is P4/mmm, No. 123.

Lattice parameters (Å, degrees): 3.9873 3.9873 2.6250 90.00 90.00 90.00
Last column: nearest neighbours and their distance in Å.
Fractional positions:
Be 0.0000 0.5000 0.0000  4 Re 2.39, 4 Ni 2.39, 2 Be 2.63
Be 0.5000 0.0000 0.0000  4 Re 2.39, 4 Ni 2.39, 2 Be 2.63
Re 0.0000 0.0000 0.5000  8 Be 2.39, 2 Re 2.63
Ni 0.5000 0.5000 0.5000  8 Be 2.39, 2 Ni 2.63

---

No. 2
A plane-wave DFT calculation with PBE was carried out for a relaxed BeReNi2 crystal.

Computed properties:
As for the spin magnetization: 0.000 μB per atom. For the electronic total energy, the calculation gives -0.5086 Ry/atom. The calculation puts the formation energy at 15 meV/atom. Its space group is I4/mmm, No. 139.

Lattice parameters (Å, degrees): 4.4944 4.4944 4.4944 134.93 134.93 65.64
Last column: nearest neighbours and their distance in Å.
Fractional positions:
Be 0.0000 0.0000 0.0000  4 Re 2.44, 8 Ni 2.56
Re 0.5000 0.5000 0.0000  4 Be 2.44, 8 Ni 2.56
Ni 0.2500 0.7500 0.5000  4 Ni 2.44, 4 Re 2.56, 4 Be 2.56
Ni 0.7500 0.2500 0.5000  4 Ni 2.44, 4 Re 2.56, 4 Be 2.56

---

No. 3
A plane-wave DFT calculation with PBE was carried out for a relaxed Be2Re2Ni crystal.

Computed properties:
As for the spin magnetization: 0.000 μB per atom. Its energy above the most stable polymorph in this dataset is 0.000 eV/atom. For the electronic total energy, the calculation gives -0.5725 Ry/atom. The calculation puts the formation energy at -163 meV/atom. Its space group is P4/mbm, No. 127.

Lattice parameters (Å, degrees): 5.7668 5.7668 3.2745 90.00 90.00 90.00
Last column: nearest neighbours and their distance in Å.
Fractional positions:
Be 0.1229 0.3771 0.0000  1 Be 2.00
Be 0.3771 0.8771 0.0000  1 Be 2.00
Be 0.6229 0.1229 0.0000  1 Be 2.00
Be 0.8771 0.6229 0.0000  1 Be 2.00
Re 0.1762 0.6762 0.5000  6 Be 2.32-2.40
Re 0.3238 0.1762 0.5000  6 Be 2.32-2.40
Re 0.6762 0.8238 0.5000  6 Be 2.32-2.40
Re 0.8238 0.3238 0.5000  6 Be 2.32-2.40
Ni 0.0000 0.0000 0.0000  4 Be 2.29
Ni 0.5000 0.5000 0.0000  4 Be 2.29

---

No. 4
A plane-wave DFT calculation with PBE was carried out for a relaxed BeReNi4 crystal.

Computed properties:
As for the spin magnetization: 0.323 μB per atom. For the electronic total energy, the calculation gives -0.4648 Ry/atom. The calculation puts the formation energy at 226 meV/atom. Its space group is F-43m, No. 216.

Lattice parameters (Å, degrees): 4.6079 4.6079 4.6079 60.00 60.00 60.00
Last column: nearest neighbours and their distance in Å.
Fractional positions:
Be 0.0000 0.0000 0.0000  12 Ni 2.70, 4 Re 2.82
Re 0.2500 0.2500 0.2500  12 Ni 2.70, 4 Be 2.82
Ni 0.1247 0.6251 0.6251  6 Ni 2.30-2.31
Ni 0.6251 0.1247 0.6251  6 Ni 2.30-2.31
Ni 0.6251 0.6251 0.1247  6 Ni 2.30-2.31
Ni 0.6251 0.6251 0.6251  6 Ni 2.30-2.31

---

No. 5
A plane-wave DFT calculation with PBE was carried out for a relaxed Be2ReNi crystal.

Computed properties:
As for the spin magnetization: 0.000 μB per atom. Its energy above the most stable polymorph in this dataset is 0.230 eV/atom. For the electronic total energy, the calculation gives -0.4690 Ry/atom. The calculation puts the formation energy at 39 meV/atom. Its space group is Immm, No. 71.

Lattice parameters (Å, degrees): 4.6338 4.6338 4.6338 147.23 124.40 66.06
Last column: nearest neighbours and their distance in Å.
Fractional positions:
Be 0.2312 0.2312 0.0000  2 Ni 2.22, 2 Re 2.46
Be 0.7688 0.7688 0.0000  2 Ni 2.22, 2 Re 2.46
Re 0.5000 0.0000 0.5000  4 Be 2.46, 4 Ni 2.53, 2 Re 2.61
Ni 0.0000 0.5000 0.5000  4 Be 2.22

---

No. 6
A plane-wave DFT calculation with PBE was carried out for a relaxed Be2ReNi crystal.

Computed properties:
As for the spin magnetization: 0.000 μB per atom. Its energy above the most stable polymorph in this dataset is 0.152 eV/atom. For the electronic total energy, the calculation gives -0.4747 Ry/atom. The calculation puts the formation energy at -38 meV/atom. Its space group is C2/m, No. 12.

Lattice parameters (Å, degrees): 4.4915 4.4915 2.4815 101.29 101.29 111.16
Last column: nearest neighbours and their distance in Å.
Fractional positions:
Be 0.0000 0.5000 0.0000  2 Re 2.34, 2 Ni 2.34, 4 Be 2.48-2.54
Be 0.5000 0.0000 0.0000  2 Re 2.34, 2 Ni 2.34, 4 Be 2.48-2.54
Re 0.0000 0.0000 0.5000  4 Be 2.34, 2 Re 2.48, 2 Ni 2.54
Ni 0.5000 0.5000 0.5000  4 Be 2.34, 2 Ni 2.48, 2 Re 2.54

---

No. 7
A plane-wave DFT calculation with PBE was carried out for a relaxed Be2ReNi crystal.

Computed properties:
As for the spin magnetization: 0.000 μB per atom. Its energy above the most stable polymorph in this dataset is 0.000 eV/atom. For the electronic total energy, the calculation gives -0.4859 Ry/atom. The calculation puts the formation energy at -190 meV/atom. Its space group is Pmmm, No. 47.

Lattice parameters (Å, degrees): 2.5655 2.8539 5.6011 90.00 90.00 90.00
Last column: nearest neighbours and their distance in Å.
Fractional positions:
Be 0.0000 0.0000 0.2131  4 Ni 2.26, 1 Be 2.39, 4 Re 2.50
Be 0.0000 0.0000 0.7869  4 Ni 2.26, 1 Be 2.39, 4 Re 2.50
Re 0.5000 0.5000 0.5000  8 Be 2.50, 2 Re 2.57, 2 Ni 2.80
Ni 0.5000 0.5000 0.0000  8 Be 2.26

---

No. 8
A plane-wave DFT calculation with PBE was carried out for a relaxed BeReNi2 crystal.

Computed properties:
As for the spin magnetization: 0.000 μB per atom. For the electronic total energy, the calculation gives -0.5125 Ry/atom. The calculation puts the formation energy at -39 meV/atom. Its space group is Pm, No. 6.

Lattice parameters (Å, degrees): 2.5333 4.0211 4.5220 90.00 90.07 90.00
Last column: nearest neighbours and their distance in Å.
Fractional positions:
Be 0.0000 0.0000 0.0000  6 Ni 2.37-2.43, 2 Be 2.53, 2 Re 2.64
Re 0.9966 0.5000 0.3775  8 Ni 2.51-2.65, 2 Re 2.53, 2 Be 2.64
Ni 0.4972 0.0000 0.5576  2 Be 2.37, 4 Re 2.51, 4 Ni 2.52-2.53
Ni 0.4975 0.5000 0.8929  4 Be 2.42-2.43, 4 Ni 2.52-2.53, 4 Re 2.53-2.65

---

No. 9
A plane-wave DFT calculation with PBE was carried out for a relaxed BeReNi crystal.

Computed properties:
As for the spin magnetization: 0.000 μB per atom. Its energy above the most stable polymorph in this dataset is 0.195 eV/atom. For the electronic total energy, the calculation gives -0.5321 Ry/atom. The calculation puts the formation energy at 80 meV/atom. Its space group is P3m1, No. 156.

Lattice parameters (Å, degrees): 2.6369 2.6369 5.9456 90.00 90.00 120.00
Last column: nearest neighbours and their distance in Å.
Fractional positions:
Be 0.0000 0.0000 0.0000  3 Ni 2.33, 3 Re 2.56
Re 0.3333 0.6667 0.6546  3 Be 2.56, 3 Ni 2.61, 6 Re 2.64
Ni 0.6667 0.3333 0.2976  3 Be 2.33, 3 Re 2.61

---

No. 10
A plane-wave DFT calculation with PBE was carried out for a relaxed BeReNi crystal.

Computed properties:
As for the spin magnetization: 0.289 μB per atom. Its energy above the most stable polymorph in this dataset is 0.571 eV/atom. For the electronic total energy, the calculation gives -0.5044 Ry/atom. The calculation puts the formation energy at 456 meV/atom. Its space group is F-43m, No. 216.

Lattice parameters (Å, degrees): 3.8180 3.8180 3.8180 60.00 60.00 60.00
Last column: nearest neighbours and their distance in Å.
Fractional positions:
Be 0.0000 0.0000 0.0000  4 Ni 2.34
Re 0.5000 0.5000 0.5000  4 Ni 2.34
Ni 0.2500 0.2500 0.2500  4 Re 2.34, 4 Be 2.34